[1]
This record from the Alexandria database describes crystalline CaTl3Co at its relaxed geometry. The functional is GGA-PBEsol.

Calculated values
As for the formation energy from the elements: 1.32 eV/atom. The value obtained for the total magnetic moment is 2.2 μB/cell. Its crystal system is cubic.

Unit cell a=5.6927 b=5.6927 c=5.6927 alpha=90.00 beta=90.00 gamma=90.00
With the nearest neighbours (Å) after each atom.
Fractional positions:
Ca (0.0000, 0.0000, 0.0000)  6 Tl 2.85
Tl (0.0000, 0.0000, 0.5000)  2 Ca 2.85
Tl (0.0000, 0.5000, 0.0000)  2 Ca 2.85
Tl (0.5000, 0.0000, 0.0000)  2 Ca 2.85
Co (0.5000, 0.5000, 0.5000)  12 Tl 4.03

***

[2]
This record from the Alexandria database describes crystalline SrLiAsRu2 at its relaxed geometry. The functional is GGA-PBEsol.

Calculated values
As for the formation energy from the elements: 0.55 eV/atom. The value obtained for the total magnetic moment is 0.8 μB/cell. Its crystal system is tetragonal.

Unit cell a=4.5693 b=4.5693 c=5.5282 alpha=90.00 beta=90.00 gamma=90.00
With the nearest neighbours (Å) after each atom.
Fractional positions:
Sr (0.0000, 0.0000, 0.0000)  2 As 2.76
Li (0.5000, 0.5000, 0.0000)  4 Sr 3.23, 8 Ru 3.59
As (0.0000, 0.0000, 0.5000)  4 Ru 2.28
Ru (0.0000, 0.5000, 0.5000)  2 As 2.28
Ru (0.5000, 0.0000, 0.5000)  2 As 2.28

***

[3]
This record from the Alexandria database describes crystalline RuAuCl2 at its relaxed geometry. The functional is GGA-PBEsol.

Calculated values
The energy above the most stable polymorph in this dataset is 28.2 kJ/mol of atoms. The value obtained for the total magnetic moment is 2.2 μB/cell. Its crystal system is tetragonal.

Unit cell a=3.0321 b=3.0321 c=7.8288 alpha=90.00 beta=90.00 gamma=90.00
With the nearest neighbours (Å) after each atom.
Fractional positions:
Ru (0.0000, 0.0000, 0.0000)  4 Cl 2.60, 4 Au 2.77
Au (0.5000, 0.5000, 0.2242)  4 Cl 2.75, 4 Ru 2.77, 4 Au 3.03
Cl (0.0000, 0.0000, 0.4445)  4 Au 2.75, 4 Cl 3.03
Cl (0.5000, 0.5000, 0.8119)  4 Ru 2.60

***

Which total DFT energy (no corrections) belongs to each record? In order, -2.234 -5.298 -4.171 eV/atom.